DFT (PBE) results for Pm2HoTmSe6 after structural relaxation. Values from VASP.

Uncorrected formation energy ... -1.84 eV per atom
N(E_F) ... 0.0 states/eV/f.u.
Space group ... R3

Cell and atoms, written as Quantum ESPRESSO input:
```
&SYSTEM
  ibrav = 0, nat = 10, ntyp = 4
/
ATOMIC_SPECIES
Se 78.96 Se.upf
Tm 168.93 Tm.upf
Ho 164.93 Ho.upf
Pm 145.00 Pm.upf
CELL_PARAMETERS angstrom
7.289 0.000 0.000
3.645 6.312 0.000
3.644 2.104 6.486
ATOMIC_POSITIONS angstrom
Se 9.944 4.334 1.665
Se 5.853 6.444 1.665
Se 6.071 1.847 1.665
Se 8.485 6.050 4.915
Se 5.096 4.324 4.915
Se 8.286 2.252 4.915
Tm 3.645 2.104 0.266
Ho 10.933 6.313 3.522
Pm 7.289 4.209 2.875
Pm 3.645 2.105 6.128
```